No. 1
This record from Alexandria via LeMat-Bulk describes a relaxed structure of CaSi2W. The functional is PBE.

Summary:
Density in g/cm³: 6.81
N(E_F) in states/eV per atom: 0.601
Final energy in eV/atom: -6.3142
M_tot in μB per formula unit: 0.00
Raw formation energy in eV per atom: 0.14
Space group: Cm (8)
Volume in Å³ per cell: 68.33
Distance to the lowest polymorph of the same formula in meV per atom: 283

Cell: 5.3306 5.3306 4.5899 Å, 98.44 98.44 32.02°
With the nearest neighbours (Å) after each atom.
Fractional coordinates of all 4 atoms:
W 0.4874 0.4874 0.4103  7 Si 2.73-2.88, 2 W 2.94
Si 0.0350 0.0350 0.9166  1 Si 2.35
Si 0.2035 0.2035 0.3267  1 Si 2.35
Ca 0.7741 0.7741 0.8463  7 Si 2.64-2.92, 2 Ca 2.94

No. 2
This record from Alexandria via LeMat-Bulk describes a relaxed structure of CeGaC. The functional is PBE.

Summary:
Density in g/cm³: 6.59
N(E_F) in states/eV per atom: 1.510
Formation energy in eV per atom: -0.385
Final energy in eV/atom: -6.4467
M_tot in μB per formula unit: 0.60
Space group: C2/m (12)
Volume in Å³ per cell: 111.87
Distance to the lowest polymorph of the same formula in meV per atom: 0

Cell: 4.0664 4.2513 7.6222 Å, 102.98 90.00 118.57°
With the nearest neighbours (Å) after each atom.
Fractional coordinates of all 6 atoms:
C 0.5907 0.1814 0.0412  1 C 1.34
C 0.4093 0.8186 0.9588  1 C 1.34
Ga 0.6683 0.3367 0.5200  3 Ga 2.43-2.45
Ga 0.3317 0.6633 0.4800  3 Ga 2.43-2.45
Ce 0.0842 0.1684 0.8098  3 C 2.40-2.68
Ce 0.9158 0.8316 0.1902  3 C 2.40-2.68